PBE-GGA Th2NpP3Ir12, relaxed; energy of formation from the pure elements = -139 meV/atom; ρ = 14.966 g cm⁻³
1.0
4.0388 2.3318 6.0884
-4.0388 2.3318 6.0884
0.0000 -4.6636 6.0884
Th Np P Ir
2 1 3 12
Cartesian
0.0000 0.0000 1.8798
0.0000 0.0000 16.3852
0.0000 0.0000 9.1325
-2.0194 -1.1659 6.0884
-2.0194 1.1659 12.1767
0.0000 2.3318 6.0883
-2.1098 -1.2181 8.4235
0.0000 -2.0670 5.5102
-1.7901 1.0335 5.5102
0.0000 -2.4362 9.8415
-2.1098 1.2181 9.8415
-1.7901 -1.0335 12.7549
1.7901 1.0335 5.5101
2.1098 -1.2181 8.4235
0.0000 2.4362 8.4235
1.7901 -1.0335 12.7549
0.0000 2.0670 12.7549
2.1098 1.2181 9.8415



PBE-GGA BaPdSN2, relaxed; formation energy (no corrections) = 0.46 eV/atom; ρ = 5.526 g cm⁻³
1.0
4.2674 0.0000 0.0000
0.0000 4.2674 0.0000
0.0000 0.0000 5.0139
Ba Pd S N
1 1 1 2
Cartesian
0.0000 0.0000 0.0000
2.1337 2.1337 2.5069
2.1337 2.1337 0.0000
0.0000 2.1337 2.5069
2.1337 0.0000 2.5069



PBE-GGA Ca3TiSb, relaxed; formation energy (no corrections) = 0.57 eV/atom; ρ = 2.648 g cm⁻³
1.0
5.6644 0.0000 0.0000
0.0000 5.6644 0.0000
0.0000 0.0000 5.6644
Ca Ti Sb
3 1 1
Cartesian
0.0000 0.0000 2.8322
0.0000 2.8322 0.0000
2.8322 0.0000 0.0000
0.0000 0.0000 0.0000
2.8322 2.8322 2.8322